VASP calculation (PBE) on a relaxed structure of KNdSbS3.

Lattice parameters (Å, degrees): 7.9998 7.9998 10.5503 90.00 90.00 148.51
Fractional positions:
K 0.2456 0.7544 0.7500
K 0.7544 0.2456 0.2500
Nd 0.5000 0.5000 0.0000
Nd 0.5000 0.5000 0.5000
Sb 0.0387 0.9613 0.2500
Sb 0.9613 0.0387 0.7500
S 0.1251 0.8749 0.0418
S 0.1251 0.8749 0.4582
S 0.4036 0.5964 0.2500
S 0.5964 0.4036 0.7500
S 0.8749 0.1251 0.5418
S 0.8749 0.1251 0.9582

## Properties
The calculation puts the total energy at -4.684 eV per atom. As for the theoretical density: 3.78 Mg/m³. The calculation puts the total magnetic moment at 0.2 μB per cell.